2
Lattice="3.9907 0.0000 0.0000 0.0000 3.9907 0.0000 0.0000 0.0000 3.9907" Properties=species:S:1:pos:R:3 comment="TbCe GGA-PBE relaxed" crystal_system=cubic pbc="T T T"
Tb 0.0000 0.0000 0.0000
Ce 1.9953 1.9953 1.9953


4
Lattice="-2.6514 -0.9275 2.0518 1.4599 -4.7067 -0.2409 4.0316 0.9615 5.6462" Properties=species:S:1:pos:R:3 comment="TbCe GGA-PBE relaxed" crystal_system=orthorhombic pbc="T T T"
Tb 2.9726 -3.1559 3.8879
Tb -0.1324 -1.5167 3.5692
Ce 0.8812 -3.6549 0.9632
Ce 1.9590 -1.0177 6.4939


7
Lattice="6.9970 0.0000 0.0000 -2.3323 6.5968 0.0000 -2.3323 -3.2984 5.7130" Properties=species:S:1:pos:R:3 comment="Tb6Ce GGA-PBE relaxed" crystal_system=cubic pbc="T T T"
Tb -1.1662 3.2984 2.8565
Tb 1.1662 4.1230 1.4283
Tb -1.1662 0.8246 4.2848
Tb 3.4985 0.0000 2.8565
Tb 1.1662 -0.8246 4.2848
Tb 3.4985 2.4738 1.4283
Ce 0.0000 0.0000 0.0000


6
Lattice="-4.1802 -1.6861 -2.2137 2.3669 -4.2735 -1.2144 -3.3948 -0.9406 7.1268" Properties=species:S:1:pos:R:3 comment="Tb5Ce GGA-PBE relaxed" crystal_system=orthorhombic pbc="T T T"
Tb 0.4471 -3.1615 1.5638
Tb -1.4750 -2.0526 4.3486
Tb -0.9066 -2.9798 -1.7141
Tb -2.8170 -1.8546 1.0362
Tb -2.3911 -5.0456 2.6625
Ce 0.0000 0.0000 0.0000


5
Lattice="-3.9970 -3.2246 -2.0849 2.3421 0.3375 -5.0121 3.0429 -4.4954 1.1192" Properties=species:S:1:pos:R:3 comment="Tb4Ce GGA-PBE relaxed" crystal_system=cubic pbc="T T T"
Tb 0.0000 0.0000 0.0000
Tb -0.4770 -3.8600 -0.4828
Tb 2.6925 -2.0790 -1.9464
Tb -0.8274 -1.4436 -3.5485
Ce 0.6940 -3.6913 -2.9889


4
Lattice="3.5850 0.0000 0.0000 0.0000 6.2193 0.0000 -1.7925 -3.1097 5.7225" Properties=species:S:1:pos:R:3 comment="Tb3Ce GGA-PBE relaxed" crystal_system=orthorhombic pbc="T T T"
Tb 0.0000 2.0738 2.8648
Tb 1.7925 3.1291 0.0000
Tb 1.7925 -1.0359 2.8577
Ce 0.0000 6.1985 0.0000


7
Lattice="3.7664 -0.0079 -0.8422 -2.3043 5.5717 -1.5206 -0.0143 0.3093 8.7721" Properties=species:S:1:pos:R:3 comment="Tb3Ce2Tc2 GGA-PBE relaxed" crystal_system=monoclinic pbc="T T T"
Tb 1.8832 -0.0039 -0.4211
Tb -1.1330 4.7435 3.7126
Tb 2.5809 1.1295 2.6968
Ce 1.3061 2.8263 5.8143
Ce 0.1417 3.0467 0.5950
Tc -1.8174 4.5935 0.6690
Tc 3.2653 1.2796 5.7404


8
Lattice="3.8510 -0.1446 0.0000 -1.7042 6.0090 0.0000 0.0000 0.0000 9.5707" Properties=species:S:1:pos:R:3 comment="Tb2CeTc GGA-PBE relaxed" crystal_system=orthorhombic pbc="T T T"
Tb 0.0628 1.6974 4.0987
Tb 2.0840 4.1669 5.4720
Tb 2.0840 4.1669 8.8840
Tb 0.0628 1.6974 0.6867
Ce 0.1845 4.9258 2.3927
Ce 1.9623 0.9386 7.1780
Tc 2.0502 3.2499 2.3927
Tc 0.0966 2.6145 7.1780


7
Lattice="-3.1353 -2.2210 0.4264 1.0077 -3.9100 4.5679 -3.3919 2.8297 7.3231" Properties=species:S:1:pos:R:3 comment="Tb2Ce3Tc2 GGA-PBE relaxed" crystal_system=monoclinic pbc="T T T"
Tb -0.6691 -1.7150 3.6711
Tb -4.8503 -1.5863 8.6463
Ce -1.5677 -1.1105 0.2132
Ce -1.8520 -2.7773 6.9648
Ce -3.6675 -0.5240 5.3526
Tc -2.1219 -1.8137 9.9995
Tc -3.3976 -1.4876 2.3179


4
Lattice="3.3462 0.0000 0.0000 1.6731 2.8979 0.0000 1.6731 0.9660 10.8327" Properties=species:S:1:pos:R:3 comment="Tb2CeTc GGA-PBE relaxed" crystal_system=trigonal pbc="T T T"
Tb 1.6731 0.9660 7.4960
Tb 5.0192 2.8979 3.3367
Tc 3.3462 1.9319 5.4164
Ce 0.0000 0.0000 0.0000


4
Lattice="3.4582 0.0000 0.0000 0.0000 3.4582 0.0000 0.0000 0.0000 8.8668" Properties=species:S:1:pos:R:3 comment="Tb2CeTc GGA-PBE relaxed" crystal_system=tetragonal pbc="T T T"
Tb 0.0000 0.0000 7.2078
Tb 0.0000 0.0000 1.6590
Tc 1.7291 1.7291 0.0000
Ce 1.7291 1.7291 4.4334


4
Lattice="4.8552 0.0000 0.0000 2.4276 4.2047 0.0000 2.4276 1.4016 3.9642" Properties=species:S:1:pos:R:3 comment="TbCeTc2 GGA-PBE relaxed" crystal_system=cubic pbc="T T T"
Tb 0.0000 0.0000 0.0000
Tc 2.4276 1.4016 0.9911
Tc 7.2828 4.2047 2.9732
Ce 4.8552 2.8031 1.9821


no.,total DFT energy (no corrections) (eV per atom),formation energy from the elements (eV per atom),total magnetization (μB per atom)
1,-5.038,0.244,0.526
2,-5.198,0.084,0.013
3,-3.431,1.385,0.200
4,-4.795,0.053,0.177
5,-4.308,0.583,0.109
6,-4.883,0.074,0.277
7,-6.754,-0.112,0.000
8,-6.510,-0.120,0.000
9,-6.902,-0.074,0.000
10,-6.107,0.283,0.204
11,-6.294,0.096,0.522
12,-7.756,0.068,0.000